! V2O5 | Alexandria via LeMat-Bulk | GGA+U | optimized geometry; values from VASP
! - Calculated volume: 102 Å³/f.u.
! - Magnetic moment: 0.00 μB per atom
! - ρ: 2.956 g cm⁻³
! - Energy: -0.539 Ry per atom
&SYSTEM
  ibrav = 0, nat = 14, ntyp = 2
/
ATOMIC_SPECIES
V 50.94 V.upf
O 16.00 O.upf
ATOMIC_POSITIONS angstrom
V 0.7239 0.8868 1.0207
V 0.7239 4.5082 1.0207
V 2.1716 6.2818 5.5189
V 2.1716 9.9033 5.5189
O 0.7239 2.6975 0.9797
O 0.7239 6.0740 4.4329
O 0.7239 6.3174 0.4144
O 0.7239 9.8676 0.4144
O 0.7239 10.1110 4.4329
O 2.1716 0.6790 2.1067
O 2.1716 0.9224 6.1252
O 2.1716 4.4726 6.1252
O 2.1716 4.7160 2.1067
O 2.1716 8.0925 5.5599
CELL_PARAMETERS angstrom
2.8954 0.0000 0.0000
0.0000 10.7901 0.0000
0.0000 0.0000 6.5396